Record 1
Computed, not measured: a geometry-optimized NaSrAc4 structure at the PBE-GGA level of DFT.

Structure (POSCAR):
```
NaSrAc4
1.0
7.5396 0.0000 0.0000
3.7698 6.5294 0.0000
3.7698 2.1765 6.1560
Sr Ac Na
1 4 1
Cartesian
0.0000 0.0000 0.0000
7.5396 4.3530 0.7622
7.5396 2.1696 3.8499
9.4304 5.4446 3.8499
5.6487 5.4446 3.8499
3.7698 2.1765 1.5390
```

Values from the calculation:
* D(E_F): 1.552 states/eV per atom
* VASP energy: -0.1084 Ha/atom

=====

Record 2
Computed, not measured: a geometry-optimized Na2SrAc structure at the PBE-GGA level of DFT.

Structure (POSCAR):
```
Na2SrAc
1.0
-0.8683 3.7630 0.5088
-3.5224 1.3370 -0.9890
-6.1599 -1.1284 12.7424
Sr Ac Na
1 1 2
Cartesian
-5.2753 1.9858 6.1311
0.0000 0.0000 0.0000
-4.9300 -0.3876 9.3633
-5.6207 4.3593 2.8990
```

Values from the calculation:
* D(E_F): 0.957 states/eV per atom
* relative energy among the computed polymorphs: 98.2 meV/atom
* VASP energy: -0.0690 Ha/atom

=====

Record 3
Computed, not measured: a geometry-optimized NaSrAc structure at the PBE-GGA level of DFT.

Structure (POSCAR):
```
NaSrAc
1.0
-1.8581 -1.4535 -3.2587
-0.9683 -1.3822 3.6518
-6.9226 7.0133 0.8190
Sr Ac Na
1 1 1
Cartesian
-5.8787 3.2683 1.8942
-0.0311 0.0315 0.0037
-3.8392 0.8778 -0.6857
```

Values from the calculation:
* D(E_F): 1.110 states/eV per atom
* relative energy among the computed polymorphs: 64.9 meV/atom
* VASP energy: -0.0832 Ha/atom

=====

Record 4
Computed, not measured: a geometry-optimized Na2SrAc structure at the PBE-GGA level of DFT.

Structure (POSCAR):
```
Na2SrAc
1.0
6.2532 0.0000 0.0000
3.1266 5.4154 0.0000
3.1266 1.8051 5.1057
Sr Ac Na
1 1 2
Cartesian
0.0000 0.0000 0.0000
6.2532 3.6103 2.5528
3.1266 1.8051 1.2764
9.3798 5.4154 3.8293
```

Values from the calculation:
* D(E_F): 0.944 states/eV per atom
* relative energy among the computed polymorphs: 56.1 meV/atom
* VASP energy: -0.0706 Ha/atom

=====

What is the formula in the first record?
NaSrAc4

=====

The lowest D(E_F) belongs to which entry?
number 4

=====

Which value of D(E_F) does entry 3 give?
1.110 states/eV per atom

=====

Repeat the fourth record exactly.
Computed, not measured: a geometry-optimized Na2SrAc structure at the PBE-GGA level of DFT.

Structure (POSCAR):
```
Na2SrAc
1.0
6.2532 0.0000 0.0000
3.1266 5.4154 0.0000
3.1266 1.8051 5.1057
Sr Ac Na
1 1 2
Cartesian
0.0000 0.0000 0.0000
6.2532 3.6103 2.5528
3.1266 1.8051 1.2764
9.3798 5.4154 3.8293
```

Values from the calculation:
* D(E_F): 0.944 states/eV per atom
* relative energy among the computed polymorphs: 56.1 meV/atom
* VASP energy: -0.0706 Ha/atom